Density functional theory data (PBE) for a relaxed YZrSi2 crystal.

E_form (uncorrected), meV per atom: -332.2
Density of states at the Fermi level, states/eV per cell: 5.60
Calculated total energy, eV/cell: -54.37

Unit cell a=6.1087 b=6.1087 c=6.1087 alpha=104.95 beta=104.95 gamma=118.95
With the nearest neighbours (Å) after each atom.
Atoms (fractional coordinates):
Y 0.0000 0.0000 0.0000  4 Si 2.82, 2 Zr 3.10
Y 0.7500 0.2500 0.5000  4 Si 2.82, 2 Zr 3.10
Zr 0.2500 0.7500 0.5000  4 Si 2.67
Zr 0.5000 0.5000 0.0000  4 Si 2.67
Si 0.1391 0.1250 0.5141  2 Zr 2.67, 2 Y 2.82
Si 0.3750 0.8609 0.9859  2 Zr 2.67, 2 Y 2.82
Si 0.6109 0.6250 0.4859  2 Zr 2.67, 2 Y 2.82
Si 0.8750 0.3891 0.0141  2 Zr 2.67, 2 Y 2.82

Density functional theory data (PBE) for a relaxed Sm3Ge2Ru2 crystal.

Density of states at the Fermi level, states/eV per cell: 13.87
Energy relative to the elements, eV per atom: -0.6524
Calculated total energy, eV/cell: -186.04

Unit cell a=5.6632 b=7.8823 c=13.7010 alpha=90.00 beta=90.00 gamma=90.00
With the nearest neighbours (Å) after each atom.
Atoms (fractional coordinates):
Sm 0.1276 0.2360 0.2500  4 Ru 3.03-3.25, 3 Ge 3.05-3.10
Sm 0.1276 0.2640 0.7500  4 Ru 3.03-3.25, 3 Ge 3.05-3.10
Sm 0.3501 0.5974 0.0991  4 Ru 2.89-3.15, 3 Ge 3.09-3.22
Sm 0.3501 0.5974 0.4009  4 Ru 2.89-3.15, 3 Ge 3.09-3.22
Sm 0.3501 0.9026 0.5991  4 Ru 2.89-3.15, 3 Ge 3.09-3.22
Sm 0.3501 0.9026 0.9009  4 Ru 2.89-3.15, 3 Ge 3.09-3.22
Sm 0.6499 0.0974 0.0991  4 Ru 2.89-3.15, 3 Ge 3.09-3.22
Sm 0.6499 0.0974 0.4009  4 Ru 2.89-3.15, 3 Ge 3.09-3.22
Sm 0.6499 0.4026 0.5991  4 Ru 2.89-3.15, 3 Ge 3.09-3.22
Sm 0.6499 0.4026 0.9009  4 Ru 2.89-3.15, 3 Ge 3.09-3.22
Sm 0.8724 0.7360 0.2500  4 Ru 3.03-3.25, 3 Ge 3.05-3.10
Sm 0.8724 0.7640 0.7500  4 Ru 3.03-3.25, 3 Ge 3.05-3.10
Ge 0.1187 0.2500 0.0000  4 Ru 2.54-2.61
Ge 0.1187 0.2500 0.5000  4 Ru 2.54-2.61
Ge 0.3672 0.6124 0.7500  2 Ru 2.59
Ge 0.3672 0.8876 0.2500  2 Ru 2.59
Ge 0.6328 0.1124 0.7500  2 Ru 2.59
Ge 0.6328 0.3876 0.2500  2 Ru 2.59
Ge 0.8813 0.7500 0.0000  4 Ru 2.54-2.61
Ge 0.8813 0.7500 0.5000  4 Ru 2.54-2.61
Ru 0.1470 0.5309 0.5909  3 Ge 2.54-2.61
Ru 0.1470 0.5309 0.9091  3 Ge 2.54-2.61
Ru 0.1470 0.9691 0.0909  3 Ge 2.54-2.61
Ru 0.1470 0.9691 0.4091  3 Ge 2.54-2.61
Ru 0.8530 0.0309 0.5909  3 Ge 2.54-2.61
Ru 0.8530 0.0309 0.9091  3 Ge 2.54-2.61
Ru 0.8530 0.4691 0.0909  3 Ge 2.54-2.61
Ru 0.8530 0.4691 0.4091  3 Ge 2.54-2.61

Please write out number 2 again, unchanged.
Density functional theory data (PBE) for a relaxed Sm3Ge2Ru2 crystal.

Density of states at the Fermi level, states/eV per cell: 13.87
Energy relative to the elements, eV per atom: -0.6524
Calculated total energy, eV/cell: -186.04

Unit cell a=5.6632 b=7.8823 c=13.7010 alpha=90.00 beta=90.00 gamma=90.00
With the nearest neighbours (Å) after each atom.
Atoms (fractional coordinates):
Sm 0.1276 0.2360 0.2500  4 Ru 3.03-3.25, 3 Ge 3.05-3.10
Sm 0.1276 0.2640 0.7500  4 Ru 3.03-3.25, 3 Ge 3.05-3.10
Sm 0.3501 0.5974 0.0991  4 Ru 2.89-3.15, 3 Ge 3.09-3.22
Sm 0.3501 0.5974 0.4009  4 Ru 2.89-3.15, 3 Ge 3.09-3.22
Sm 0.3501 0.9026 0.5991  4 Ru 2.89-3.15, 3 Ge 3.09-3.22
Sm 0.3501 0.9026 0.9009  4 Ru 2.89-3.15, 3 Ge 3.09-3.22
Sm 0.6499 0.0974 0.0991  4 Ru 2.89-3.15, 3 Ge 3.09-3.22
Sm 0.6499 0.0974 0.4009  4 Ru 2.89-3.15, 3 Ge 3.09-3.22
Sm 0.6499 0.4026 0.5991  4 Ru 2.89-3.15, 3 Ge 3.09-3.22
Sm 0.6499 0.4026 0.9009  4 Ru 2.89-3.15, 3 Ge 3.09-3.22
Sm 0.8724 0.7360 0.2500  4 Ru 3.03-3.25, 3 Ge 3.05-3.10
Sm 0.8724 0.7640 0.7500  4 Ru 3.03-3.25, 3 Ge 3.05-3.10
Ge 0.1187 0.2500 0.0000  4 Ru 2.54-2.61
Ge 0.1187 0.2500 0.5000  4 Ru 2.54-2.61
Ge 0.3672 0.6124 0.7500  2 Ru 2.59
Ge 0.3672 0.8876 0.2500  2 Ru 2.59
Ge 0.6328 0.1124 0.7500  2 Ru 2.59
Ge 0.6328 0.3876 0.2500  2 Ru 2.59
Ge 0.8813 0.7500 0.0000  4 Ru 2.54-2.61
Ge 0.8813 0.7500 0.5000  4 Ru 2.54-2.61
Ru 0.1470 0.5309 0.5909  3 Ge 2.54-2.61
Ru 0.1470 0.5309 0.9091  3 Ge 2.54-2.61
Ru 0.1470 0.9691 0.0909  3 Ge 2.54-2.61
Ru 0.1470 0.9691 0.4091  3 Ge 2.54-2.61
Ru 0.8530 0.0309 0.5909  3 Ge 2.54-2.61
Ru 0.8530 0.0309 0.9091  3 Ge 2.54-2.61
Ru 0.8530 0.4691 0.0909  3 Ge 2.54-2.61
Ru 0.8530 0.4691 0.4091  3 Ge 2.54-2.61